Computed, not measured: CoNiBiPd after structural relaxation at the PBE level of DFT.

As for the total energy: -5.317 eV per atom. As for the calculated volume: 15.28 Å³/atom. The value obtained for the offset from the most stable computed form is 0.000 eV/atom. The total magnetization comes out at 1.2 μB per formula unit.

It has space group F-43m (No. 216), with a = 6.253 Å, b = 6.253 Å, c = 6.253 Å, α = 90.00°, β = 90.00° and γ = 90.00°. The asymmetric unit holds Co at (0.000, 0.000, 0.000), Ni at (0.000, 0.000, 0.500), Bi at (0.250, 0.250, 0.750) and Pd at (0.250, 0.250, 0.250).